A plane-wave DFT calculation with PBEsol was carried out for crystalline TbCe3 at its relaxed geometry.

Results
ρ = 9.31 Mg/m³
spin magnetization = 0.0 μB/f.u.
N(E_F) = 2.475 states/eV per atom
total DFT energy (no corrections) = -6.08 eV/atom
formation energy from the elements = 0.12 eV/atom
space-group type = I4/mmm, No. 139

a b c (Å): 4.6789 4.6789 9.4347
angles (deg): 90.00 90.00 90.00
Element x y z (fractional)
Tb: 0.0000 0.0000 0.0000
Tb: 0.5000 0.5000 0.5000
Ce: 0.0000 0.0000 0.5000
Ce: 0.0000 0.5000 0.2500
Ce: 0.0000 0.5000 0.7500
Ce: 0.5000 0.0000 0.2500
Ce: 0.5000 0.0000 0.7500
Ce: 0.5000 0.5000 0.0000